Record 1
# PBE-GGA YTcMo2, relaxed
# * distance to the lowest polymorph of the same formula: 1.13 eV/f.u.
# * D(E_F): 0.9168 states/eV per atom
# * energy of formation from the pure elements: 0.45 eV/atom
# * magnetization: 0.0 μB/cell
# * raw total energy: -9.17 eV per atom
data_YTcMo2
_chemical_formula_sum 'Y3 Tc3 Mo6'
_space_group_name_H-M_alt 'R 3 m'
_space_group_IT_number 160
_space_group_name_Hall 'R 3 -2"'
_cell_length_a 3.1129
_cell_length_b 3.1129
_cell_length_c 26.3610
_cell_angle_alpha 90.00
_cell_angle_beta 90.00
_cell_angle_gamma 120.00
loop_
_atom_site_label
_atom_site_type_symbol
_atom_site_fract_x
_atom_site_fract_y
_atom_site_fract_z
Y1 Y 0.0000 0.0000 0.0000
Tc1 Tc 0.0000 0.0000 0.2412
Mo1 Mo 0.0000 0.0000 0.5016
Mo2 Mo 0.0000 0.0000 0.7622

***

Record 2
# PBE-GGA Y2TcMo, relaxed
# * distance to the lowest polymorph of the same formula: 1.62 eV/f.u.
# * D(E_F): 1.7358 states/eV per atom
# * energy of formation from the pure elements: 0.45 eV/atom
# * magnetization: 1.7 μB/cell
# * raw total energy: -8.08 eV per atom
data_Y2TcMo
_chemical_formula_sum 'Y2 Tc1 Mo1'
_space_group_name_H-M_alt 'P 4/m m m'
_space_group_IT_number 123
_space_group_name_Hall '-P 4 2'
_cell_length_a 4.927
_cell_length_b 4.927
_cell_length_c 3.481
_cell_angle_alpha 90.00
_cell_angle_beta 90.00
_cell_angle_gamma 90.00
loop_
_atom_site_label
_atom_site_type_symbol
_atom_site_fract_x
_atom_site_fract_y
_atom_site_fract_z
Y1 Y 0.000 0.500 0.000
Tc1 Tc 0.000 0.000 0.500
Mo1 Mo 0.500 0.500 0.500